Below is crystalline In2AgGe2 at its relaxed geometry, with properties calculated at the PBE level.

Summary:
* DOS at the Fermi energy: 4.38 states/eV per cell
* electronic total energy: -16.63 eV/f.u.
* ΔE_f: 0.19 eV/atom
* E above lowest polymorph: 32 meV/atom
* calculated volume: 230.92 Å³/cell

Cell and atoms, written as CIF:
```
data_In2AgGe2
_chemical_formula_sum 'In4 Ag2 Ge4'
_symmetry_space_group_name_H-M 'I 4/m m m'
_symmetry_Int_Tables_number 139
_symmetry_space_group_name_Hall '-I 4 2'
_cell_length_a 3.7106
_cell_length_b 3.7106
_cell_length_c 16.7719
_cell_angle_alpha 90.00
_cell_angle_beta 90.00
_cell_angle_gamma 90.00
loop_
_atom_site_label
_atom_site_fract_x
_atom_site_fract_y
_atom_site_fract_z
In1 0.0000 0.0000 0.0971
Ag1 0.0000 0.0000 0.5000
Ge1 0.0000 0.5000 0.2500
```

Below is crystalline In2AgGe at its relaxed geometry, with properties calculated at the PBE level.

Summary:
* DOS at the Fermi energy: 3.74 states/eV per cell
* electronic total energy: -12.38 eV/f.u.
* ΔE_f: 0.14 eV/atom
* calculated volume: 292.70 Å³/cell

Cell and atoms, written as CIF:
```
data_In2AgGe
_chemical_formula_sum 'In6 Ag3 Ge3'
_symmetry_space_group_name_H-M 'R 3 m'
_symmetry_Int_Tables_number 160
_symmetry_space_group_name_Hall 'R 3 -2"'
_cell_length_a 4.3438
_cell_length_b 4.3438
_cell_length_c 17.9118
_cell_angle_alpha 90.00
_cell_angle_beta 90.00
_cell_angle_gamma 120.00
loop_
_atom_site_label
_atom_site_fract_x
_atom_site_fract_y
_atom_site_fract_z
In1 0.0000 0.0000 0.0000
In2 0.0000 0.0000 0.1746
Ag1 0.0000 0.0000 0.5848
Ge1 0.0000 0.0000 0.4231
```

Below is crystalline In2AgGe2 at its relaxed geometry, with properties calculated at the PBE level.

Summary:
* DOS at the Fermi energy: 3.00 states/eV per cell
* electronic total energy: -16.35 eV/f.u.
* ΔE_f: 0.24 eV/atom
* E above lowest polymorph: 87 meV/atom
* calculated volume: 237.10 Å³/cell

Cell and atoms, written as CIF:
```
data_In2AgGe2
_chemical_formula_sum 'In4 Ag2 Ge4'
_symmetry_space_group_name_H-M 'P 4/m b m'
_symmetry_Int_Tables_number 127
_symmetry_space_group_name_Hall '-P 4 2ab'
_cell_length_a 7.5336
_cell_length_b 7.5336
_cell_length_c 4.1777
_cell_angle_alpha 90.00
_cell_angle_beta 90.00
_cell_angle_gamma 90.00
loop_
_atom_site_label
_atom_site_fract_x
_atom_site_fract_y
_atom_site_fract_z
In1 0.1673 0.3327 0.0000
Ag1 0.0000 0.0000 0.0000
Ge1 0.1243 0.6243 0.5000
```

Below is crystalline In2AgGe at its relaxed geometry, with properties calculated at the PBE level.

Summary:
* DOS at the Fermi energy: 1.69 states/eV per cell
* electronic total energy: -12.35 eV/f.u.
* ΔE_f: 0.15 eV/atom
* calculated volume: 89.01 Å³/cell

Cell and atoms, written as CIF:
```
data_In2AgGe
_chemical_formula_sum 'In2 Ag1 Ge1'
_symmetry_space_group_name_H-M 'P 4/m m m'
_symmetry_Int_Tables_number 123
_symmetry_space_group_name_Hall '-P 4 2'
_cell_length_a 4.5134
_cell_length_b 4.5134
_cell_length_c 4.3693
_cell_angle_alpha 90.00
_cell_angle_beta 90.00
_cell_angle_gamma 90.00
loop_
_atom_site_label
_atom_site_fract_x
_atom_site_fract_y
_atom_site_fract_z
In1 0.0000 0.5000 0.0000
Ag1 0.0000 0.0000 0.5000
Ge1 0.5000 0.5000 0.5000
```

Below is crystalline In2Ag2Ge at its relaxed geometry, with properties calculated at the PBE level.

Summary:
* DOS at the Fermi energy: 5.62 states/eV per cell
* electronic total energy: -14.29 eV/f.u.
* ΔE_f: 0.30 eV/atom
* E above lowest polymorph: 151 meV/atom
* calculated volume: 233.37 Å³/cell

Cell and atoms, written as CIF:
```
data_In2Ag2Ge
_chemical_formula_sum 'In4 Ag4 Ge2'
_symmetry_space_group_name_H-M 'I 4/m m m'
_symmetry_Int_Tables_number 139
_symmetry_space_group_name_Hall '-I 4 2'
_cell_length_a 4.2059
_cell_length_b 4.2059
_cell_length_c 13.1924
_cell_angle_alpha 90.00
_cell_angle_beta 90.00
_cell_angle_gamma 90.00
loop_
_atom_site_label
_atom_site_fract_x
_atom_site_fract_y
_atom_site_fract_z
In1 0.0000 0.5000 0.2500
Ag1 0.0000 0.0000 0.1006
Ge1 0.0000 0.0000 0.5000
```

Below is crystalline InAg14Ge at its relaxed geometry, with properties calculated at the PBE level.

Summary:
* DOS at the Fermi energy: 10.15 states/eV per cell
* electronic total energy: -46.62 eV/f.u.
* ΔE_f: 0.04 eV/atom
* calculated volume: 583.73 Å³/cell

Cell and atoms, written as CIF:
```
data_InAg14Ge
_chemical_formula_sum 'In2 Ag28 Ge2'
_symmetry_space_group_name_H-M 'A m m 2'
_symmetry_Int_Tables_number 38
_cell_length_a 9.5321
_cell_length_b 5.9447
_cell_length_c 10.3013
_cell_angle_alpha 90.00
_cell_angle_beta 90.00
_cell_angle_gamma 90.00
loop_
_symmetry_equiv_pos_as_xyz
'x,y,z'
'-x,-y,z'
'-x,y,z'
'x,-y,z'
'x,y+1/2,z+1/2'
'-x,-y+1/2,z+1/2'
'-x,y+1/2,z+1/2'
'x,-y+1/2,z+1/2'
loop_
_atom_site_label
_atom_site_fract_x
_atom_site_fract_y
_atom_site_fract_z
In1 0.0000 0.0000 0.0000
Ag1 0.0000 0.2487 0.2506
Ag2 0.2502 0.0000 0.6649
Ag3 0.2533 0.0000 0.1656
Ag4 0.2527 0.2487 0.4141
Ag5 0.5000 0.0000 0.3319
Ag6 0.5000 0.0000 0.8313
Ag7 0.5000 0.2490 0.5816
Ge1 0.0000 0.0000 0.5023
```

Q: What is the formula in the first record?
A: In2AgGe2

Q: Which value of calculated volume does entry 3 give?
A: 237.10 Å³/cell

Q: The highest electronic total energy belongs to which entry?
A: number 4